1.
Tb2ThSi4: optimized geometry, PBE-GGA.

```
Tb2ThSi4
1.0
-2.2237 -2.5741 1.9962
-1.5680 -1.5116 -3.6959
8.4049 -3.8521 0.4992
Tb Th Si
2 1 4
direct
0.8175 0.8175 0.6350
0.1825 0.1825 0.3650
0.5000 0.0000 0.0000
0.6494 0.6494 0.2987
0.3506 0.3506 0.7013
0.0667 0.5667 0.1335
0.9333 0.4333 0.8665
```

Computed properties:
E_form (uncorrected) = -758.1 meV/atom
size of the total moment = 0.00 Bohr magnetons per cell
N(E_F) = 0.449 states/eV/atom
energy = -6.240 eV/atom



2.
TbThSi: optimized geometry, PBE-GGA.

```
TbThSi
1.0
-7.2226 -1.7726 -0.2881
3.7392 -5.7937 -2.8004
2.1531 1.1231 7.5970
Th Si Tb
4 4 4
direct
0.6250 0.3750 0.2500
0.1250 0.3750 0.7500
0.6250 0.3750 0.7500
0.6250 0.8750 0.2500
0.0584 0.9416 0.5000
0.8084 0.1916 0.0000
0.4416 0.5584 0.5000
0.1916 0.8084 0.0000
0.1180 0.6180 0.2360
0.1320 0.1320 0.2640
0.8680 0.8680 0.7360
0.3820 0.8820 0.7640
```

Computed properties:
E_form (uncorrected) = -263.4 meV/atom
size of the total moment = 0.00 Bohr magnetons per cell
N(E_F) = 1.018 states/eV/atom
energy = -6.088 eV/atom
energy above the most stable polymorph in this dataset = 0.212 eV/f.u.



3.
TbThSi4: optimized geometry, PBE-GGA.

```
TbThSi4
1.0
-3.7584 -1.1983 -0.9734
1.4794 -3.5277 -1.3696
0.3529 -0.5275 7.7668
Tb Th Si
1 1 4
direct
0.0000 0.0000 0.0000
0.2500 0.7500 0.5000
0.6650 0.1650 0.3300
0.5814 0.5814 0.1627
0.8350 0.3350 0.6700
0.4186 0.4186 0.8373
```

Computed properties:
E_form (uncorrected) = -582.1 meV/atom
size of the total moment = 0.00 Bohr magnetons per cell
N(E_F) = 0.454 states/eV/atom
energy = -6.206 eV/atom



4.
TbThSi2: optimized geometry, PBE-GGA.

```
TbThSi2
1.0
-1.0280 -4.0557 1.2144
3.8096 -0.7203 0.8193
-0.2483 3.7390 4.4414
Tb Th Si
1 1 2
direct
0.4430 0.5000 0.4259
0.7236 0.0000 0.9853
0.1570 0.5000 0.8532
0.0074 0.0000 0.5536
```

Computed properties:
E_form (uncorrected) = -731.3 meV/atom
size of the total moment = 0.00 Bohr magnetons per cell
N(E_F) = 0.808 states/eV/atom
energy = -6.455 eV/atom
energy above the most stable polymorph in this dataset = 0.000 eV/f.u.



5.
TbThSi: optimized geometry, PBE-GGA.

```
TbThSi
1.0
4.1599 0.0000 0.0000
0.0000 4.7297 0.0000
0.0000 -2.3648 4.0960
Si Tb Th
1 1 1
direct
0.0476 0.0000 0.0000
0.2366 0.6667 0.3333
0.7158 0.3333 0.6667
```

Computed properties:
E_form (uncorrected) = -141.7 meV/atom
size of the total moment = 0.00 Bohr magnetons per cell
N(E_F) = 1.007 states/eV/atom
energy = -5.966 eV/atom
energy above the most stable polymorph in this dataset = 0.577 eV/f.u.



6.
Tb2ThSi: optimized geometry, PBE-GGA.

```
Tb2ThSi
1.0
3.5160 0.0000 0.0000
1.7580 3.0449 0.0000
1.7580 1.0150 10.8966
Si Tb Th
1 2 1
direct
0.5000 0.5000 0.5000
0.1053 0.1053 0.6842
0.8947 0.8947 0.3158
0.0000 0.0000 0.0000
```

Computed properties:
E_form (uncorrected) = 36.0 meV/atom
size of the total moment = 0.00 Bohr magnetons per cell
N(E_F) = 1.072 states/eV/atom
energy = -5.490 eV/atom



7.
Tb3ThSi3: optimized geometry, PBE-GGA.

```
Tb3ThSi3
1.0
3.9049 0.0000 0.0000
0.0000 10.1040 0.0000
0.0000 -5.0520 8.7503
Tb Th Si
6 2 6
direct
0.7500 0.7762 0.6989
0.7500 0.3011 0.0773
0.7500 0.9227 0.2238
0.2500 0.2238 0.3011
0.2500 0.6989 0.9227
0.2500 0.0773 0.7762
0.2500 0.6667 0.3333
0.7500 0.3333 0.6667
0.2500 0.5266 0.5881
0.2500 0.4119 0.9385
0.2500 0.0615 0.4734
0.7500 0.4734 0.4119
0.7500 0.5881 0.0615
0.7500 0.9385 0.5266
```

Computed properties:
E_form (uncorrected) = -491.3 meV/atom
size of the total moment = 0.00 Bohr magnetons per cell
N(E_F) = 0.890 states/eV/atom
energy = -5.860 eV/atom



8.
Tb3ThSi4: optimized geometry, PBE-GGA.

```
Tb3ThSi4
1.0
3.9639 0.0000 0.0000
0.0000 6.3582 -0.7611
-1.9820 -2.2448 8.1987
Tb Th Si
3 1 4
direct
0.0000 0.5000 0.0000
0.1944 0.1943 0.3889
0.8056 0.8057 0.6111
0.5000 0.0000 0.0000
0.3668 0.5491 0.7336
0.6332 0.4509 0.2664
0.6330 0.8151 0.2660
0.3670 0.1849 0.7340
```

Computed properties:
E_form (uncorrected) = -501.2 meV/atom
size of the total moment = 0.00 Bohr magnetons per cell
N(E_F) = 0.622 states/eV/atom
energy = -5.877 eV/atom



9.
TbTiSi2: optimized geometry, PBE-GGA.

```
TbTiSi2
1.0
4.1732 0.0000 0.0000
2.0866 3.6141 0.0000
2.0866 1.2047 5.1722
Si Tb Ti
2 1 1
direct
0.7276 0.7276 0.8171
0.2724 0.2724 0.1829
0.5000 0.5000 0.5000
0.0000 0.0000 0.0000
```

Computed properties:
E_form (uncorrected) = -518.5 meV/atom
size of the total moment = 0.00 Bohr magnetons per cell
N(E_F) = 0.455 states/eV/atom
energy = -6.361 eV/atom



10.
TbTi2Si4: optimized geometry, PBE-GGA.

```
TbTi2Si4
1.0
-1.0691 1.0337 3.4758
-1.0452 -3.5588 0.7369
8.5655 -0.3640 0.6867
Tb Ti Si
1 2 4
direct
0.5000 0.0000 0.0000
0.8155 0.8155 0.6310
0.1845 0.1845 0.3690
0.6609 0.6609 0.3219
0.3391 0.3391 0.6781
0.0725 0.5726 0.1451
0.9275 0.4274 0.8549
```

Computed properties:
E_form (uncorrected) = -615.7 meV/atom
size of the total moment = 0.00 Bohr magnetons per cell
N(E_F) = 0.552 states/eV/atom
energy = -6.632 eV/atom



11.
TbTiSi: optimized geometry, PBE-GGA.

```
TbTiSi
1.0
4.0434 0.0000 0.0000
0.0000 4.0434 0.0000
0.0000 0.0000 7.6114
Tb Ti Si
2 2 2
direct
0.0000 0.5000 0.3448
0.5000 0.0000 0.6552
0.0000 0.0000 0.0000
0.5000 0.5000 0.0000
0.0000 0.5000 0.7654
0.5000 0.0000 0.2346
```

Computed properties:
E_form (uncorrected) = -645.5 meV/atom
size of the total moment = 0.27 Bohr magnetons per cell
N(E_F) = 1.136 states/eV/atom
energy = -6.628 eV/atom



12.
Tb12TlSi6: optimized geometry, PBE-GGA.

```
Tb12TlSi6
1.0
8.1435 0.0000 -2.8792
-4.0718 7.0525 -2.8792
0.0000 0.0000 8.6375
Tb Tl Si
12 1 6
direct
0.2970 0.1093 0.8122
0.2970 0.4848 0.1878
0.7030 0.5152 0.8122
0.7030 0.8907 0.1878
0.1093 0.8122 0.2970
0.4848 0.1878 0.2970
0.5152 0.8122 0.7030
0.8907 0.1878 0.7030
0.8122 0.2970 0.1093
0.1878 0.2970 0.4848
0.8122 0.7030 0.5152
0.1878 0.7030 0.8907
0.0000 0.0000 0.0000
0.3830 0.5000 0.8830
0.6170 0.5000 0.1170
0.5000 0.8830 0.3830
0.5000 0.1170 0.6170
0.8830 0.3830 0.5000
0.1170 0.6170 0.5000
```

Computed properties:
E_form (uncorrected) = -555.9 meV/atom
size of the total moment = 0.00 Bohr magnetons per cell
N(E_F) = 0.403 states/eV/atom
energy = -5.317 eV/atom